Material: LiBP2
Method: DFT, PBE
State: relaxed

For the magnetic moment, the calculation gives 0.00 Bohr magnetons per cell. The energy of formation from the pure elements is 0.074 eV/atom.

The space group is I-42d (No. 122) and the conventional cell measures 5.539, 5.539 and 8.056 Å, with angles of 90.00, 90.00 and 90.00 degrees. The inequivalent atoms are Li at (0.000, 0.000, 0.000), B at (0.000, 0.000, 0.500) and P at (0.173, 0.250, 0.625).